(1)
The following is a GGA-PBE calculation of a relaxed structure of TbGaCo2H, from Alexandria.

Cell: 5.5031 5.5031 7.1104 Å, 90.00 90.00 141.62°
Last column: nearest neighbours and their distance in Å.
Sites, in units of the cell vectors:
Tb 0.0525 0.9475 0.7500  4 H 2.59, 1 Ga 2.89
Tb 0.9475 0.0525 0.2500  4 H 2.59, 1 Ga 2.89
Ga 0.2255 0.7745 0.2500  6 Co 2.40-2.45
Ga 0.7745 0.2255 0.7500  6 Co 2.40-2.45
Co 0.3411 0.6589 0.5503  1 H 1.69
Co 0.3411 0.6589 0.9497  1 H 1.69
Co 0.6589 0.3411 0.0503  1 H 1.69
Co 0.6589 0.3411 0.4497  1 H 1.69
H 0.5000 0.5000 0.0000  2 Co 1.69
H 0.5000 0.5000 0.5000  2 Co 1.69

Properties
**Volume**: 133.7 Å³ per cell
**Space-group type**: Cmcm, No. 63
**Total moment**: 3.1 μB per cell
**E_tot**: -5.363 eV per atom



(2)
The following is a GGA-PBE calculation of a relaxed structure of NdTh2Si6, from Alexandria.

Cell: 7.1411 7.1411 4.1840 Å, 90.00 90.00 120.00°
Last column: nearest neighbours and their distance in Å.
Sites, in units of the cell vectors:
Nd 0.0000 0.0000 0.0000  12 Si 3.17
Th 0.3333 0.6667 0.0000  12 Si 3.17
Th 0.6667 0.3333 0.0000  12 Si 3.17
Si 0.0000 0.3339 0.5000  3 Si 2.37-2.38
Si 0.0000 0.6661 0.5000  3 Si 2.37-2.38
Si 0.3339 0.0000 0.5000  3 Si 2.37-2.38
Si 0.3339 0.3339 0.5000  3 Si 2.37-2.38
Si 0.6661 0.0000 0.5000  3 Si 2.37-2.38
Si 0.6661 0.6661 0.5000  3 Si 2.37-2.38

Properties
**Volume**: 184.8 Å³ per cell
**Space-group type**: P6/mmm, No. 191
**Total moment**: 0.0 μB per cell
**E_tot**: -6.398 eV per atom
**Formation energy without anion corrections**: -604 meV per atom



(3)
The following is a GGA-PBE calculation of a relaxed structure of Er3Cd2Ag4, from Alexandria.

Cell: 5.9048 5.9048 9.0474 Å, 117.63 117.63 47.83°
Last column: nearest neighbours and their distance in Å.
Sites, in units of the cell vectors:
Er 0.0000 0.0000 0.0000  8 Ag 3.26-3.29, 4 Cd 3.31, 2 Er 3.34
Er 0.3412 0.3412 0.3212  8 Ag 3.14-3.42, 4 Cd 3.23-3.33, 2 Er 3.31-3.34
Er 0.6588 0.6588 0.6788  8 Ag 3.14-3.42, 4 Cd 3.23-3.33, 2 Er 3.31-3.34
Cd 0.3725 0.3725 0.7066  4 Ag 2.79-3.11
Cd 0.6275 0.6275 0.2934  4 Ag 2.79-3.11
Ag 0.0601 0.0601 0.3943  3 Cd 2.79-3.11, 1 Ag 2.80
Ag 0.2746 0.2746 0.9403  2 Ag 2.79, 1 Cd 2.80
Ag 0.7254 0.7254 0.0597  2 Ag 2.79, 1 Cd 2.80
Ag 0.9399 0.9399 0.6057  3 Cd 2.79-3.11, 1 Ag 2.80

Properties
**Volume**: 201.5 Å³ per cell
**Space-group type**: C2/m, No. 12
**Total moment**: 0.0 μB per cell
**ΔE to the lowest computed polymorph**: 0.0000 eV per atom
**E_tot**: -3.260 eV per atom
**Formation energy from the elements**: -0.269 eV/atom



(4)
The following is a GGA-PBE calculation of a relaxed structure of Ho4AlAu3, from Alexandria.

Cell: 3.6942 4.6372 11.1344 Å, 90.00 90.00 90.00°
Last column: nearest neighbours and their distance in Å.
Sites, in units of the cell vectors:
Ho 0.0000 0.0000 0.0000  6 Au 3.03-3.12, 1 Al 3.17
Ho 0.0000 0.5000 0.2795  7 Au 3.03-3.13
Ho 0.5000 0.0000 0.4905  5 Au 2.95-3.06, 2 Al 3.11
Ho 0.5000 0.5000 0.7874  3 Au 2.97-3.13, 4 Al 3.07
Al 0.0000 0.0000 0.7150  2 Au 2.89, 7 Ho 3.07-3.17
Au 0.0000 0.5000 0.5603  2 Al 2.89, 7 Ho 3.06-3.13
Au 0.5000 0.0000 0.2254  7 Ho 2.95-3.12, 2 Au 3.00
Au 0.5000 0.5000 0.0542  7 Ho 2.97-3.12, 2 Au 3.00

Properties
**Volume**: 190.7 Å³ per cell
**Space-group type**: Pmm2, No. 25
**Total moment**: 0.0 μB per cell
**E_tot**: -4.731 eV per atom
**Formation energy from the elements**: -0.745 eV/atom



(5)
The following is a GGA-PBE calculation of a relaxed structure of CaCo, from Alexandria.

Cell: 5.9027 5.9027 5.6384 Å, 90.00 90.00 90.00°
Last column: nearest neighbours and their distance in Å.
Sites, in units of the cell vectors:
Ca 0.1938 0.1938 0.0000  4 Co 2.78-2.87
Ca 0.3062 0.6938 0.5000  4 Co 2.78-2.87
Ca 0.6938 0.3062 0.5000  4 Co 2.78-2.87
Ca 0.8062 0.8062 0.0000  4 Co 2.78-2.87
Co 0.1317 0.1317 0.5000  1 Co 2.20
Co 0.3683 0.6317 0.0000  1 Co 2.20
Co 0.6317 0.3683 0.0000  1 Co 2.20
Co 0.8683 0.8683 0.5000  1 Co 2.20

Properties
**Volume**: 196.4 Å³ per cell
**Space-group type**: P4_2/mnm, No. 136
**Total moment**: 5.3 μB per cell
**E_tot**: -3.973 eV per atom
**Formation energy from the elements**: 0.581 eV/atom



(6)
The following is a GGA-PBE calculation of a relaxed structure of TmTh2Sc, from Alexandria.

Cell: 3.5233 3.5233 9.5956 Å, 90.00 90.00 90.00°
Last column: nearest neighbours and their distance in Å.
Sites, in units of the cell vectors:
Tm 0.0000 0.0000 0.0000  8 Th 3.52, 4 Tm 3.52
Th 0.5000 0.5000 0.2595  4 Sc 3.40, 4 Tm 3.52, 4 Th 3.52
Th 0.5000 0.5000 0.7405  4 Sc 3.40, 4 Tm 3.52, 4 Th 3.52
Sc 0.0000 0.0000 0.5000  8 Th 3.40, 4 Sc 3.52

Properties
**Volume**: 119.1 Å³ per cell
**Space-group type**: P4/mmm, No. 123
**Total moment**: 0.0 μB per cell
**ΔE to the lowest computed polymorph**: 0.0000 eV per atom
**E_tot**: -6.379 eV per atom
**Formation energy from the elements**: 0.031 eV/atom



volume of number 1 (TbGaCo2H)?
133.7 Å³ per cell